No. 1
The following is a GGA-PBE calculation of a geometry-optimized In3GaI4 structure, from the Alexandria database.

Output
Symmetry: No. 13

Structure (POSCAR):
```
In3GaI4
1.0
8.506 0.000 0.000
0.000 9.791 0.000
-2.818 0.000 7.973
In Ga I
6 2 8
Cartesian
-0.704 1.217 1.993
-2.113 3.648 5.980
-0.704 6.142 1.993
-2.113 8.574 5.980
3.548 3.653 1.993
2.139 6.138 5.980
2.139 1.202 5.980
3.548 8.589 1.993
0.741 3.610 4.043
2.150 6.181 0.056
-0.584 1.157 7.960
0.825 8.633 3.974
4.863 1.157 3.999
6.272 8.633 0.013
3.538 3.610 7.917
4.947 6.181 3.930
```

=====

No. 2
The following is a GGA-PBE calculation of a geometry-optimized In2Ga2I structure, from the Alexandria database.

Output
Fermi-level density of states, states/eV per atom: 0.489
Symmetry: No. 127

Structure (POSCAR):
```
In2Ga2I
1.0
8.458 0.000 0.000
0.000 8.458 0.000
0.000 0.000 3.818
In Ga I
4 4 2
Cartesian
1.601 2.628 0.000
2.628 6.857 0.000
5.830 1.601 0.000
6.857 5.830 0.000
0.963 5.192 1.909
3.266 0.963 1.909
5.192 7.495 1.909
7.495 3.266 1.909
0.000 0.000 1.909
4.229 4.229 1.909
```

=====

No. 3
The following is a GGA-PBE calculation of a geometry-optimized InGaI structure, from the Alexandria database.

Output
Fermi-level density of states, states/eV per atom: 0.301
Symmetry: No. 8

Structure (POSCAR):
```
InGaI
1.0
5.289 -2.851 0.000
5.289 2.851 0.000
-2.567 0.000 6.776
In Ga I
2 2 2
Cartesian
0.000 0.000 0.000
4.934 0.000 2.674
7.425 0.000 4.038
9.579 0.000 2.620
1.246 0.000 4.495
7.044 0.000 0.171
```

=====

No. 4
The following is a GGA-PBE calculation of a geometry-optimized In3GaI structure, from the Alexandria database.

Output
Fermi-level density of states, states/eV per atom: 0.922
Symmetry: No. 221

Structure (POSCAR):
```
In3GaI
1.0
6.268 0.000 0.000
0.000 6.268 0.000
0.000 0.000 6.268
In Ga I
3 1 1
Cartesian
0.000 0.000 3.134
0.000 3.134 0.000
3.134 0.000 0.000
3.134 3.134 3.134
0.000 0.000 0.000
```

=====

No. 5
The following is a GGA-PBE calculation of a geometry-optimized InGa2I6 structure, from the Alexandria database.

Output
Fermi-level density of states, states/eV per atom: 0.322
Symmetry: No. 15

Structure (POSCAR):
```
InGa2I6
1.0
8.078 -7.195 0.000
8.078 7.195 0.000
-3.172 0.000 8.215
In Ga I
2 4 12
Cartesian
5.699 5.367 6.161
7.285 -5.367 2.054
2.133 1.278 6.377
3.719 -1.278 2.269
9.264 1.278 5.946
10.850 -1.278 1.838
-0.334 1.030 5.487
2.653 3.828 6.642
1.252 -1.030 1.379
3.882 0.025 4.680
5.469 -0.025 0.573
8.744 3.828 5.680
4.239 -3.828 2.534
7.515 0.025 7.642
9.101 -0.025 3.534
11.732 1.030 6.835
10.330 -3.828 1.573
13.318 -1.030 2.728
```

=====

No. 6
The following is a GGA-PBE calculation of a geometry-optimized In3Ga4I8 structure, from the Alexandria database.

Output
Fermi-level density of states, states/eV per atom: 0.334
Symmetry: No. 12

Structure (POSCAR):
```
In3Ga4I8
1.0
6.591 -6.637 0.000
6.591 6.637 0.000
-6.552 0.000 6.688
In Ga I
3 4 8
Cartesian
0.000 0.000 0.000
0.019 3.318 3.344
0.019 -3.318 3.344
3.295 3.318 0.000
3.295 -3.318 0.000
6.591 0.000 0.000
3.315 0.000 3.344
3.315 3.333 3.344
-0.021 0.000 3.409
6.591 3.252 0.000
3.365 0.000 0.027
3.265 0.000 6.661
6.591 -3.252 0.000
6.650 0.000 3.278
3.315 -3.333 3.344
```

=====

Number 1: E_form (uncorrected) -0.42 eV/atom, E_tot -41.65 eV/cell. Number 2: E_form (uncorrected) 0.00 eV/atom, E_tot -26.15 eV/cell. Number 3: E_form (uncorrected) -0.12 eV/atom, E_tot -15.35 eV/cell. Number 4: E_form (uncorrected) 0.60 eV/atom, E_tot -9.81 eV/cell. Number 5: E_form (uncorrected) -0.41 eV/atom, E_tot -43.52 eV/cell. Number 6: E_form (uncorrected) -0.38 eV/atom, E_tot -38.39 eV/cell.